Entry 1:
Mn2In (PBE, relaxed); Fermi-level density of states = 3.3 states/eV/f.u.; crystal system = tetragonal; raw total energy = -18.7 eV per formula unit; ΔE_f = 0.786 eV/atom
1.0
4.609 0.000 0.000
0.000 4.609 0.000
0.000 0.000 3.062
Mn In
2 1
direct
0.000 0.500 0.000
0.500 0.000 0.000
0.000 0.000 0.500

***

Entry 2:
Mn2In (PBE, relaxed); Fermi-level density of states = 3.3 states/eV/f.u.; crystal system = orthorhombic; raw total energy = -20.2 eV per formula unit; ΔE_f = 0.286 eV/atom
1.0
2.814 0.000 0.000
0.000 17.341 0.000
0.000 0.000 4.173
Mn In
8 4
direct
0.000 0.048 0.250
0.000 0.432 0.250
0.000 0.568 0.750
0.000 0.952 0.750
0.500 0.068 0.750
0.500 0.452 0.750
0.500 0.548 0.250
0.500 0.932 0.250
0.000 0.310 0.750
0.000 0.690 0.250
0.500 0.190 0.250
0.500 0.810 0.750

***

Entry 3:
Mn2In3 (PBE, relaxed); Fermi-level density of states = 3.5 states/eV/f.u.; crystal system = orthorhombic; raw total energy = -25.2 eV per formula unit; ΔE_f = 0.271 eV/atom
1.0
0.000 6.828 2.519
5.916 0.000 2.519
5.916 6.828 0.000
Mn In
4 6
direct
0.015 0.485 0.065
0.185 0.815 0.235
0.485 0.015 0.435
0.815 0.185 0.765
0.243 0.243 0.257
0.491 0.545 0.286
0.545 0.491 0.679
0.571 0.964 0.705
0.964 0.571 0.759
0.993 0.993 0.007